Computed, not measured: an optimized crystal structure of KLa2MnO5 at the PBE+U level of DFT.

Output
Uncorrected energy in eV/f.u.: -66.402
Symmetry: P4/mbm, No. 127
Total magnetization in μB/cell: 7.960

Lattice parameters (Å, degrees): 6.9182 6.9182 5.8906 90.00 90.00 90.00
Last column: nearest neighbours and their distance in Å.
Fractional coordinates of all 18 atoms:
K (0.0000, 0.0000, 0.0000)  10 O 2.95-3.05
K (0.5000, 0.5000, 0.0000)  10 O 2.95-3.05
La (0.1819, 0.3182, 0.5000)  4 O 2.38-2.54
La (0.3182, 0.8182, 0.5000)  4 O 2.38-2.54
La (0.6818, 0.1819, 0.5000)  4 O 2.38-2.54
La (0.8182, 0.6818, 0.5000)  4 O 2.38-2.54
Mn (0.0000, 0.5000, 0.0000)  4 O 1.91
Mn (0.5000, 0.0000, 0.0000)  4 O 1.91
O (0.0000, 0.0000, 0.5000)  4 La 2.54
O (0.1325, 0.6325, 0.2386)  1 Mn 1.91
O (0.1325, 0.6325, 0.7614)  1 Mn 1.91
O (0.3675, 0.1325, 0.2386)  1 Mn 1.91
O (0.3675, 0.1325, 0.7614)  1 Mn 1.91
O (0.5000, 0.5000, 0.5000)  4 La 2.54
O (0.6325, 0.8675, 0.2386)  1 Mn 1.91
O (0.6325, 0.8675, 0.7614)  1 Mn 1.91
O (0.8675, 0.3675, 0.2386)  1 Mn 1.91
O (0.8675, 0.3675, 0.7614)  1 Mn 1.91